Entry from Alexandria: crystalline YVF3 at its relaxed geometry (PBE with a Hubbard U).

Calculated values
DOS at the Fermi energy	3.59	states/eV per cell
space group	Pm-3m
magnetization	0.88	μB per atom
energy above the most stable polymorph in this dataset	0.0000	eV per atom

a b c (Å): 4.503 4.503 4.503
angles (deg): 90.00 90.00 90.00
Element x y z (fractional)
1 Y 0.000 0.000 0.000
2 V 0.500 0.500 0.500
3 F 0.000 0.000 0.500
4 F 0.000 0.500 0.000
5 F 0.500 0.000 0.000